Material: MnBeFeRe
Method: DFT, PBE
State: optimized geometry

abc: 3.9922 3.9922 3.9922
angles: 60.00 60.00 60.00
Closest atoms and distances in Å follow each position.
Fractional coordinates of all 4 atoms:
Mn (0.0000, 0.0000, 0.0000)  4 Be 2.44, 4 Re 2.44
Be (0.7500, 0.7500, 0.7500)  4 Mn 2.44, 4 Fe 2.44
Fe (0.5000, 0.5000, 0.5000)  4 Be 2.44, 4 Re 2.44
Re (0.2500, 0.2500, 0.2500)  4 Mn 2.44, 4 Fe 2.44

space-group type: F-43m (216)
ΔH_f (0 K): -0.165 eV/f.u.
electronic total energy: -8.49 eV/atom